Computed, not measured: a crystal of RbMgSn3 relaxed with PBEsol at the SCAN level of DFT.

Cell: 5.915 5.915 5.915 Å, 90.00 90.00 90.00°
Positions (direct):
Sn: 0.000 0.000 0.500
Mg: 0.500 0.500 0.500
Sn: 0.000 0.500 0.000
Rb: 0.000 0.000 0.000
Sn: 0.500 0.000 0.000

Summary:
Calculated volume: 41.38 Å³ per atom
Crystal system: cubic
Formation energy: 1385.7 meV per atom